Record 1
DFT (GGA-PBE) results for an optimized crystal structure of LaSi2Tc.

POSCAR file:
```
LaSi2Tc
1.0
-3.564 -1.782 0.619
-0.070 -2.303 -7.029
4.876 -8.771 2.826
Tc La Si
4 4 8
direct
0.750 0.493 0.892
0.250 0.007 0.392
0.750 0.993 0.608
0.250 0.507 0.108
0.750 0.145 0.125
0.750 0.645 0.375
0.250 0.855 0.875
0.250 0.355 0.625
0.250 0.336 0.312
0.250 0.308 0.923
0.750 0.164 0.812
0.750 0.192 0.423
0.250 0.836 0.188
0.750 0.692 0.077
0.250 0.808 0.577
0.750 0.664 0.688
```

Computed properties:
Electronic total energy ... -0.2644 Ha/atom
Energy above the lowest structure with this stoichiometry ... 0 meV/atom
Crystal system ... orthorhombic
Space group ... No. 62
Magnetic moment ... 0.00 μB/f.u.
Volume ... 311 Å³ per cell


Record 2
DFT (GGA-PBE) results for an optimized crystal structure of LaSi2Tc2.

POSCAR file:
```
LaSi2Tc2
1.0
-2.515 0.507 3.355
-1.984 -3.608 -0.941
1.114 -4.161 4.122
Si Tc La
2 2 1
direct
0.630 0.630 0.739
0.370 0.370 0.261
0.250 0.750 0.500
0.750 0.250 0.500
0.000 0.000 0.000
```

Computed properties:
Electronic total energy ... -0.2903 Ha/atom
Energy above the lowest structure with this stoichiometry ... 0 meV/atom
Crystal system ... tetragonal
Space group ... No. 139
Magnetic moment ... 0.00 μB/f.u.
Volume ... 92 Å³ per cell


Record 3
DFT (GGA-PBE) results for an optimized crystal structure of LaSiTc.

POSCAR file:
```
LaSiTc
1.0
-5.389 1.497 1.787
-5.791 -0.765 -0.602
-0.889 -2.243 2.272
Si La Tc
1 1 1
direct
0.291 0.291 0.709
0.000 0.000 0.000
0.709 0.709 0.291
```

Computed properties:
Electronic total energy ... -0.2667 Ha/atom
Energy above the lowest structure with this stoichiometry ... 246 meV/atom
Crystal system ... tetragonal
Space group ... No. 107
Magnetic moment ... 0.00 μB/f.u.
Volume ... 59 Å³ per cell


Record 4
DFT (GGA-PBE) results for an optimized crystal structure of La4SiTc.

POSCAR file:
```
La4SiTc
1.0
6.311 -0.413 -1.690
-2.820 7.226 -2.790
-0.370 -0.405 8.225
La Tc Si
8 2 2
direct
0.416 0.697 0.055
0.808 0.644 0.778
0.584 0.303 0.945
0.192 0.356 0.222
0.916 0.055 0.697
0.692 0.222 0.356
0.084 0.945 0.303
0.308 0.778 0.644
0.750 0.999 0.001
0.250 0.001 0.999
0.250 0.374 0.626
0.750 0.626 0.374
```

Computed properties:
Electronic total energy ... -0.2273 Ha/atom
Energy above the lowest structure with this stoichiometry ... 0 meV/atom
Crystal system ... monoclinic
Space group ... No. 15
Magnetic moment ... 0.00 μB/f.u.
Volume ... 351 Å³ per cell


Record 5
DFT (GGA-PBE) results for an optimized crystal structure of La3SiTc.

POSCAR file:
```
La3SiTc
1.0
-3.986 2.373 2.689
-3.520 -1.816 -3.615
-0.689 -4.453 2.908
La Tc Si
3 1 1
direct
0.000 0.000 0.500
0.000 0.500 0.000
0.500 0.000 0.000
0.000 0.000 0.000
0.500 0.500 0.500
```

Computed properties:
Electronic total energy ... -0.2255 Ha/atom
Energy above the lowest structure with this stoichiometry ... 0 meV/atom
Crystal system ... cubic
Space group ... No. 221
Magnetic moment ... 0.00 μB/f.u.
Volume ... 154 Å³ per cell


Record 6
DFT (GGA-PBE) results for an optimized crystal structure of LaSiTc.

POSCAR file:
```
LaSiTc
1.0
-2.188 1.948 2.957
1.920 -3.593 0.858
3.640 2.236 1.220
Si Tc La
1 1 1
direct
0.333 0.667 0.500
0.667 0.333 0.500
0.000 0.000 0.000
```

Computed properties:
Electronic total energy ... -0.2680 Ha/atom
Energy above the lowest structure with this stoichiometry ... 209 meV/atom
Crystal system ... hexagonal
Space group ... No. 187
Magnetic moment ... 0.00 μB/f.u.
Volume ... 67 Å³ per cell


Record 7
DFT (GGA-PBE) results for an optimized crystal structure of LaSi2Tc.

POSCAR file:
```
LaSi2Tc
1.0
4.089 0.000 0.000
0.000 4.091 0.000
0.000 0.000 4.448
Tc Si La
1 2 1
direct
0.500 0.000 0.500
0.500 0.500 0.000
0.000 0.000 0.000
0.000 0.500 0.500
```

Computed properties:
Electronic total energy ... -0.2356 Ha/atom
Energy above the lowest structure with this stoichiometry ... 784 meV/atom
Crystal system ... tetragonal
Space group ... No. 123
Magnetic moment ... 0.00 μB/f.u.
Volume ... 74 Å³ per cell


Record 8
DFT (GGA-PBE) results for an optimized crystal structure of LaSi2Tc.

POSCAR file:
```
LaSi2Tc
1.0
-0.092 3.285 -3.548
-4.532 0.899 1.427
4.005 0.584 2.647
Si La Tc
2 1 1
direct
0.564 0.564 0.000
0.936 0.936 0.000
0.250 0.750 0.500
0.750 0.250 0.500
```

Computed properties:
Electronic total energy ... -0.2470 Ha/atom
Energy above the lowest structure with this stoichiometry ... 473 meV/atom
Crystal system ... orthorhombic
Space group ... No. 71
Magnetic moment ... 0.00 μB/f.u.
Volume ... 80 Å³ per cell


Record 9
DFT (GGA-PBE) results for an optimized crystal structure of LaSiTc2.

POSCAR file:
```
LaSiTc2
1.0
4.478 0.000 0.000
0.000 4.478 0.000
2.239 2.239 8.700
Tc Si La
4 2 2
direct
0.263 0.625 0.250
0.875 0.737 0.750
0.487 0.125 0.250
0.375 0.513 0.750
0.250 0.750 0.500
0.500 0.500 0.000
0.750 0.250 0.500
0.000 0.000 0.000
```

Computed properties:
Electronic total energy ... -0.2802 Ha/atom
Crystal system ... tetragonal
Space group ... No. 122
Magnetic moment ... 0.00 μB/f.u.
Volume ... 174 Å³ per cell


Record 10
DFT (GGA-PBE) results for an optimized crystal structure of LaSi2Tc.

POSCAR file:
```
LaSi2Tc
1.0
-1.434 2.241 -3.376
0.875 -0.865 -4.119
-4.415 -2.728 -2.317
La Si Tc
1 2 1
direct
0.750 0.750 0.750
0.967 0.967 0.127
0.533 0.533 0.373
0.250 0.250 0.250
```

Computed properties:
Electronic total energy ... -0.2615 Ha/atom
Energy above the lowest structure with this stoichiometry ... 79 meV/atom
Crystal system ... monoclinic
Space group ... No. 12
Magnetic moment ... 0.00 μB/f.u.
Volume ... 79 Å³ per cell


Record 11
DFT (GGA-PBE) results for an optimized crystal structure of LaSiTc2.

POSCAR file:
```
LaSiTc2
1.0
-4.239 2.405 1.890
-3.578 -3.756 0.645
4.660 1.736 1.613
Tc Si La
2 1 1
direct
0.469 0.469 0.000
0.031 0.031 0.000
0.250 0.750 0.500
0.750 0.250 0.500
```

Computed properties:
Electronic total energy ... -0.2797 Ha/atom
Crystal system ... orthorhombic
Space group ... No. 71
Magnetic moment ... 0.00 μB/f.u.
Volume ... 73 Å³ per cell


Record 12
DFT (GGA-PBE) results for an optimized crystal structure of LaSiTc2.

POSCAR file:
```
LaSiTc2
1.0
5.363 0.001 0.001
-2.681 4.606 -0.001
0.000 0.982 2.844
La Si Tc
1 1 2
direct
0.000 0.500 0.500
0.500 0.500 0.000
0.500 0.000 0.500
0.000 0.000 0.000
```

Computed properties:
Electronic total energy ... -0.2765 Ha/atom
Crystal system ... monoclinic
Space group ... No. 12
Magnetic moment ... 0.00 μB/f.u.
Volume ... 70 Å³ per cell


no.,E_form (uncorrected) (eV/atom)
1,-0.66
2,-0.60
3,-0.35
4,-0.27
5,-0.02
6,-0.39
7,0.12
8,-0.19
9,0.15
10,-0.58
11,0.16
12,0.25